Record 1
Material: Ce2SmZnC
Method: DFT, PBE-GGA
State: optimized geometry

extended XYZ file:
```
5
Lattice="-1.641 -2.790 3.660 3.251 -3.453 -1.175 3.373 2.113 3.123" Properties=species:S:1:pos:R:3 pbc="T T T"
Sm 4.937 -2.397 0.387
C 3.372 2.112 3.122
Ce 4.998 0.386 2.535
Ce 5.803 -2.736 3.778
Zn 2.494 -2.064 2.806
```

## Properties
E_tot in eV per atom: -5.528
Space-group type: P4/mmm, No. 123
Calculated formation energy in kcal/mol of atoms: -2.57


Record 2
Material: TlPbAu
Method: DFT, PBE-GGA
State: optimized geometry

extended XYZ file:
```
6
Lattice="-6.788 2.157 2.031 -2.150 -6.722 1.721 1.471 -2.026 3.111" Properties=species:S:1:pos:R:3 pbc="T T T"
Au -6.600 -5.877 4.649
Tl -2.403 -6.479 2.287
Pb -3.839 -6.488 5.516
Au -4.569 -1.948 3.723
Pb -7.330 -1.338 2.855
Tl -1.978 -3.504 4.055
```

## Properties
E_tot in eV per atom: -3.175
Space-group type: P-1, No. 2
Calculated formation energy in kcal/mol of atoms: -1.33